Record 1
An optimized crystal structure of KThPd, computed with GGA-PBE.

## Properties
Final energy: -4.233 eV/atom
Calculated density: 6.80 g/cm³

Cell lengths 5.071, 5.071, 5.071 Å; angles 60.00, 60.00, 60.00 degrees
Atoms (fractional coordinates):
Pd 0.250 0.250 0.250
Th 0.000 0.000 0.000
K 0.500 0.500 0.500


Record 2
An optimized crystal structure of KTl4Pd, computed with GGA-PBE.

## Properties
Final energy: -2.758 eV/atom
Calculated density: 8.98 g/cm³

Cell lengths 9.567, 4.205, 8.851 Å; angles 90.00, 90.00, 90.00 degrees
Atoms (fractional coordinates):
Pd 0.750 0.000 0.675
Pd 0.250 0.000 0.325
Tl 0.500 0.000 0.500
Tl 0.567 0.500 0.802
Tl 0.000 0.000 0.500
Tl 0.067 0.500 0.198
Tl 0.933 0.500 0.802
Tl 0.750 0.500 0.423
Tl 0.250 0.500 0.577
Tl 0.433 0.500 0.198
K 0.250 0.000 0.910
K 0.750 0.000 0.090


Record 3
An optimized crystal structure of KTlPd, computed with GGA-PBE.

## Properties
Final energy: -2.413 eV/atom
Calculated density: 5.77 g/cm³

Cell lengths 5.222, 5.222, 5.222 Å; angles 60.00, 60.00, 60.00 degrees
Atoms (fractional coordinates):
Tl 0.750 0.750 0.750
Pd 0.250 0.250 0.250
K 0.000 0.000 0.000